No. 1
DFT (PBE) results for a geometry-optimized Mn3Co12Tc5 structure.

Results
Electronic total energy ... -7.328 eV/atom
Space group ... Ia-3d
ΔH_f (0 K) ... 87.1 kJ per mole of atoms

abc: 11.494 11.494 11.494
angles: 109.47 109.47 109.47
Fractional positions:
Mn: 0.125 0.250 0.375
Mn: 0.125 0.375 0.750
Mn: 0.250 0.375 0.125
Mn: 0.250 0.875 0.625
Mn: 0.375 0.125 0.250
Mn: 0.375 0.750 0.125
Mn: 0.625 0.250 0.875
Mn: 0.625 0.875 0.750
Mn: 0.750 0.125 0.375
Mn: 0.750 0.625 0.875
Mn: 0.875 0.625 0.250
Mn: 0.875 0.750 0.625
Co: 0.067 0.234 0.137
Co: 0.067 0.333 0.930
Co: 0.070 0.637 0.403
Co: 0.070 0.933 0.667
Co: 0.097 0.734 0.667
Co: 0.097 0.863 0.430
Co: 0.137 0.067 0.234
Co: 0.137 0.570 0.903
Co: 0.167 0.234 0.597
Co: 0.167 0.433 0.570
Co: 0.234 0.137 0.067
Co: 0.234 0.597 0.167
Co: 0.266 0.333 0.903
Co: 0.266 0.433 0.363
Co: 0.333 0.903 0.266
Co: 0.333 0.930 0.067
Co: 0.363 0.266 0.433
Co: 0.363 0.597 0.930
Co: 0.403 0.070 0.637
Co: 0.403 0.833 0.766
Co: 0.430 0.097 0.863
Co: 0.430 0.833 0.567
Co: 0.433 0.363 0.266
Co: 0.433 0.570 0.167
Co: 0.567 0.430 0.833
Co: 0.567 0.637 0.734
Co: 0.570 0.167 0.433
Co: 0.570 0.903 0.137
Co: 0.597 0.167 0.234
Co: 0.597 0.930 0.363
Co: 0.637 0.403 0.070
Co: 0.637 0.734 0.567
Co: 0.667 0.070 0.933
Co: 0.667 0.097 0.734
Co: 0.734 0.567 0.637
Co: 0.734 0.667 0.097
Co: 0.766 0.403 0.833
Co: 0.766 0.863 0.933
Co: 0.833 0.567 0.430
Co: 0.833 0.766 0.403
Co: 0.863 0.430 0.097
Co: 0.863 0.933 0.766
Co: 0.903 0.137 0.570
Co: 0.903 0.266 0.333
Co: 0.930 0.067 0.333
Co: 0.930 0.363 0.597
Co: 0.933 0.667 0.070
Co: 0.933 0.766 0.863
Tc: 0.000 0.000 0.000
Tc: 0.000 0.000 0.500
Tc: 0.000 0.500 0.000
Tc: 0.000 0.500 0.500
Tc: 0.125 0.750 0.875
Tc: 0.125 0.875 0.250
Tc: 0.250 0.125 0.875
Tc: 0.250 0.625 0.375
Tc: 0.375 0.250 0.625
Tc: 0.375 0.625 0.750
Tc: 0.500 0.000 0.000
Tc: 0.500 0.000 0.500
Tc: 0.500 0.500 0.000
Tc: 0.500 0.500 0.500
Tc: 0.625 0.375 0.250
Tc: 0.625 0.750 0.375
Tc: 0.750 0.375 0.625
Tc: 0.750 0.875 0.125
Tc: 0.875 0.125 0.750
Tc: 0.875 0.250 0.125

No. 2
DFT (PBE) results for a geometry-optimized MnCoTc4 structure.

Results
Electronic total energy ... -9.121 eV/atom
Space group ... F-43m
ΔH_f (0 K) ... 48.4 kJ per mole of atoms

abc: 5.039 5.039 5.039
angles: 60.00 60.00 60.00
Fractional positions:
Mn: 0.000 0.000 0.000
Co: 0.750 0.750 0.750
Tc: 0.375 0.375 0.375
Tc: 0.375 0.375 0.875
Tc: 0.375 0.875 0.375
Tc: 0.875 0.375 0.375

No. 3
DFT (PBE) results for a geometry-optimized Mn2CoTc structure.

Results
Electronic total energy ... -8.896 eV/atom
Space group ... I4/mmm
ΔH_f (0 K) ... 5.5 kJ per mole of atoms

abc: 4.412 4.412 4.412
angles: 131.31 131.31 71.32
Fractional positions:
Mn: 0.250 0.750 0.500
Mn: 0.750 0.250 0.500
Co: 0.000 0.000 0.000
Tc: 0.500 0.500 0.000

No. 4
DFT (PBE) results for a geometry-optimized Mn2CoTc structure.

Results
Electronic total energy ... -8.829 eV/atom
Space group ... P4/mmm
ΔH_f (0 K) ... 12.0 kJ per mole of atoms

abc: 2.557 2.557 7.350
angles: 90.00 90.00 90.00
Fractional positions:
Mn: 0.000 0.000 0.229
Mn: 0.000 0.000 0.771
Co: 0.500 0.500 0.000
Tc: 0.500 0.500 0.500

No. 5
DFT (PBE) results for a geometry-optimized Mn2CoTc structure.

Results
Electronic total energy ... -8.851 eV/atom
Space group ... C2/m
ΔH_f (0 K) ... 9.8 kJ per mole of atoms

abc: 4.382 4.382 4.460
angles: 99.07 99.07 33.92
Fractional positions:
Mn: 0.244 0.244 0.229
Mn: 0.756 0.756 0.771
Co: 0.500 0.500 0.000
Tc: 0.000 0.000 0.500

No. 6
DFT (PBE) results for a geometry-optimized MnCo2Tc2 structure.

Results
Electronic total energy ... -8.543 eV/atom
Space group ... P4/mbm
ΔH_f (0 K) ... 27.0 kJ per mole of atoms

abc: 6.909 6.909 2.640
angles: 90.00 90.00 90.00
Fractional positions:
Mn: 0.000 0.000 0.000
Mn: 0.500 0.500 0.000
Co: 0.120 0.380 0.000
Co: 0.380 0.880 0.000
Co: 0.620 0.120 0.000
Co: 0.880 0.620 0.000
Tc: 0.177 0.677 0.500
Tc: 0.323 0.177 0.500
Tc: 0.677 0.823 0.500
Tc: 0.823 0.323 0.500

No. 7
DFT (PBE) results for a geometry-optimized Mn2CoTc structure.

Results
Electronic total energy ... -8.842 eV/atom
Space group ... Pmmm
ΔH_f (0 K) ... 10.6 kJ per mole of atoms

abc: 2.573 3.555 5.171
angles: 90.00 90.00 90.00
Fractional positions:
Mn: 0.000 0.000 0.229
Mn: 0.000 0.000 0.771
Co: 0.500 0.500 0.000
Tc: 0.500 0.500 0.500

No. 8
DFT (PBE) results for a geometry-optimized MnCoTc structure.

Results
Electronic total energy ... -8.765 eV/atom
Offset from the most stable computed form ... 0.0512 eV per atom
Space group ... P3m1
ΔH_f (0 K) ... 11.2 kJ per mole of atoms

abc: 4.113 4.113 2.568
angles: 90.00 90.00 120.00
Fractional positions:
Mn: 0.000 0.000 0.000
Co: 0.333 0.667 0.751
Tc: 0.667 0.333 0.343